[1]
GGA-PBE Hf5FeN6, optimized geometry; raw formation energy = -1480 meV/atom; Fermi-level density of states = 0.274 states/eV/atom; raw total energy = -10.4948 eV per atom; space group = C2/m (12)
1.0
5.417 -0.865 -0.669
-2.089 5.073 -0.669
-0.316 -0.400 5.491
N Hf Fe
6 5 1
direct
0.427 0.085 0.256
0.256 0.256 0.750
0.744 0.744 0.250
0.573 0.915 0.744
0.085 0.427 0.256
0.915 0.573 0.744
0.500 0.500 0.500
0.334 0.666 0.000
0.160 0.840 0.500
0.666 0.334 0.000
0.840 0.160 0.500
0.000 0.000 0.000

[2]
GGA-PBE Hf3FeN, optimized geometry; raw formation energy = -654 meV/atom; Fermi-level density of states = 0.646 states/eV/atom; raw total energy = -9.9834 eV per atom; space group = Pm-3m (221)
1.0
-3.071 -0.427 3.080
-1.694 -3.401 -2.160
2.608 -2.712 2.224
Fe Hf N
1 3 1
direct
0.500 0.500 0.500
0.000 0.000 0.500
0.000 0.500 0.000
0.500 0.000 0.000
0.000 0.000 0.000

[3]
GGA-PBE HfFe2N2, optimized geometry; raw formation energy = -169 meV/atom; Fermi-level density of states = 0.401 states/eV/atom; raw total energy = -8.8745 eV per atom; space group = I4/mmm (139); distance to the lowest polymorph of the same formula = 0.0 meV per atom
1.0
3.630 0.000 0.000
0.000 3.630 0.000
1.815 1.815 3.773
Fe N Hf
2 2 1
direct
0.654 0.654 0.692
0.346 0.346 0.308
0.250 0.750 0.500
0.750 0.250 0.500
0.000 0.000 0.000